(1)
Here is a relaxed structure of Hf3BeAu from the Alexandria database. Energies are from PBE.

Structure (CIF):
```
data_Hf3BeAu
_chemical_formula_sum 'Hf3 Be1 Au1'
_cell_length_a 4.6144
_cell_length_b 4.6144
_cell_length_c 4.6144
_cell_angle_alpha 90.00
_cell_angle_beta 90.00
_cell_angle_gamma 90.00
_space_group_name_H-M_alt 'P m -3 m'
_space_group_IT_number 221
_space_group_name_Hall '-P 4 2 3'
loop_
_atom_site_label
_atom_site_type_symbol
_atom_site_fract_x
_atom_site_fract_y
_atom_site_fract_z
_atom_site_occupancy
Hf1 Hf 0.0000 0.0000 0.5000 1
Be1 Be 0.0000 0.0000 0.0000 1
Au1 Au 0.5000 0.5000 0.5000 1
```

**Calculated volume**: 19.7 Å³ per atom
**Total magnetic moment**: 0.0 μB/f.u.
**Formation energy**: 0.19 eV per atom
**DOS(E_F)**: 7.39 states/eV/f.u.
**Electronic total energy**: -35.94 eV per cell

---

(2)
Here is a relaxed structure of PrEr2P3 from the Alexandria database. Energies are from PBE.

Structure (CIF):
```
data_PrEr2P3
_chemical_formula_sum 'Pr2 Er4 P6'
_cell_length_a 4.0497
_cell_length_b 5.7389
_cell_length_c 12.1392
_cell_angle_alpha 90.00
_cell_angle_beta 90.00
_cell_angle_gamma 90.00
_space_group_name_H-M_alt 'I m m m'
_space_group_IT_number 71
_space_group_name_Hall '-I 2 2'
loop_
_atom_site_label
_atom_site_type_symbol
_atom_site_fract_x
_atom_site_fract_y
_atom_site_fract_z
_atom_site_occupancy
Pr1 Pr 0.0000 0.0000 0.0000 1
Er1 Er 0.0000 0.0000 0.3342 1
P1 P 0.0000 0.5000 0.0000 1
P2 P 0.0000 0.5000 0.3258 1
```

**Calculated volume**: 23.5 Å³ per atom
**Total magnetic moment**: 0.0 μB/f.u.
**Formation energy**: -1.56 eV per atom
**DOS(E_F)**: 0.80 states/eV/f.u.
**Electronic total energy**: -78.94 eV per cell

---

(3)
Here is a relaxed structure of La2ZrAu from the Alexandria database. Energies are from PBE.

Structure (CIF):
```
data_La2ZrAu
_chemical_formula_sum 'La2 Zr1 Au1'
_cell_length_a 3.5603
_cell_length_b 3.5603
_cell_length_c 8.7628
_cell_angle_alpha 90.00
_cell_angle_beta 90.00
_cell_angle_gamma 90.00
_space_group_name_H-M_alt 'P 4 m m'
_space_group_IT_number 99
_space_group_name_Hall 'P 4 -2'
loop_
_atom_site_label
_atom_site_type_symbol
_atom_site_fract_x
_atom_site_fract_y
_atom_site_fract_z
_atom_site_occupancy
La1 La 0.0000 0.0000 0.0000 1
La2 La 0.5000 0.5000 0.3243 1
Zr1 Zr 0.0000 0.0000 0.5842 1
Au1 Au 0.5000 0.5000 0.7542 1
```

**Calculated volume**: 27.8 Å³ per atom
**Total magnetic moment**: 0.0 μB/f.u.
**Formation energy**: -0.26 eV per atom
**DOS(E_F)**: 5.58 states/eV/f.u.
**Electronic total energy**: -22.71 eV per cell

---

(4)
Here is a relaxed structure of MnReP2 from the Alexandria database. Energies are from PBE.

Structure (CIF):
```
data_MnReP2
_chemical_formula_sum 'Mn3 Re3 P6'
_cell_length_a 2.8736
_cell_length_b 2.8736
_cell_length_c 21.4694
_cell_angle_alpha 90.00
_cell_angle_beta 90.00
_cell_angle_gamma 120.00
_space_group_name_H-M_alt 'R -3 m'
_space_group_IT_number 166
_space_group_name_Hall '-R 3 2"'
loop_
_atom_site_label
_atom_site_type_symbol
_atom_site_fract_x
_atom_site_fract_y
_atom_site_fract_z
_atom_site_occupancy
Mn1 Mn 0.0000 0.0000 0.0000 1
Re1 Re 0.0000 0.0000 0.5000 1
P1 P 0.0000 0.0000 0.2544 1
```

**Calculated volume**: 12.8 Å³ per atom
**Total magnetic moment**: 1.6 μB/f.u.
**Formation energy**: -0.05 eV per atom
**DOS(E_F)**: 2.24 states/eV/f.u.
**Electronic total energy**: -97.96 eV per cell

---

(5)
Here is a relaxed structure of AlInOs2 from the Alexandria database. Energies are from PBE.

Structure (CIF):
```
data_AlInOs2
_chemical_formula_sum 'Al1 In1 Os2'
_cell_length_a 3.1762
_cell_length_b 3.1762
_cell_length_c 6.3083
_cell_angle_alpha 90.00
_cell_angle_beta 90.00
_cell_angle_gamma 90.00
_space_group_name_H-M_alt 'P 4 m m'
_space_group_IT_number 99
_space_group_name_Hall 'P 4 -2'
loop_
_atom_site_label
_atom_site_type_symbol
_atom_site_fract_x
_atom_site_fract_y
_atom_site_fract_z
_atom_site_occupancy
Al1 Al 0.0000 0.0000 0.0000 1
In1 In 0.5000 0.5000 0.2917 1
Os1 Os 0.0000 0.0000 0.5413 1
Os2 Os 0.5000 0.5000 0.8186 1
```

**Calculated volume**: 15.9 Å³ per atom
**Total magnetic moment**: 0.0 μB/f.u.
**Formation energy**: 0.32 eV per atom
**DOS(E_F)**: 2.52 states/eV/f.u.
**Electronic total energy**: -27.67 eV per cell

---

(6)
Here is a relaxed structure of ScZnCrC from the Alexandria database. Energies are from PBE.

Structure (CIF):
```
data_ScZnCrC
_chemical_formula_sum 'Sc2 Zn2 Cr2 C2'
_cell_length_a 3.3031
_cell_length_b 3.3031
_cell_length_c 10.0644
_cell_angle_alpha 90.00
_cell_angle_beta 90.00
_cell_angle_gamma 90.00
_space_group_name_H-M_alt 'P 4/n m m'
_space_group_IT_number 129
loop_
_space_group_symop_operation_xyz
'x,y,z'
'-x,-y,-z'
'-y+1/2,x,z'
'y+1/2,-x,-z'
'-x+1/2,-y+1/2,z'
'x+1/2,y+1/2,-z'
'y,-x+1/2,z'
'-y,x+1/2,-z'
'x+1/2,-y,-z'
'-x+1/2,y,z'
'-y,-x,-z'
'y,x,z'
'-x,y+1/2,-z'
'x,-y+1/2,z'
'y+1/2,x+1/2,-z'
'-y+1/2,-x+1/2,z'
loop_
_atom_site_label
_atom_site_type_symbol
_atom_site_fract_x
_atom_site_fract_y
_atom_site_fract_z
_atom_site_occupancy
Sc1 Sc 0.2500 0.2500 0.2358 1
Zn1 Zn 0.2500 0.7500 0.5000 1
Cr1 Cr 0.2500 0.7500 0.0000 1
C1 C 0.2500 0.2500 0.8673 1
```

**Calculated volume**: 13.7 Å³ per atom
**Total magnetic moment**: 0.0 μB/f.u.
**Formation energy**: -0.09 eV per atom
**DOS(E_F)**: 2.88 states/eV/f.u.
**Electronic total energy**: -53.62 eV per cell

---

(7)
Here is a relaxed structure of Er7Cd2Co2 from the Alexandria database. Energies are from PBE.

Structure (CIF):
```
data_Er7Cd2Co2
_chemical_formula_sum 'Er14 Cd4 Co4'
_cell_length_a 7.6994
_cell_length_b 10.8052
_cell_length_c 6.9999
_cell_angle_alpha 90.00
_cell_angle_beta 90.00
_cell_angle_gamma 90.00
_space_group_name_H-M_alt 'C m m m'
_space_group_IT_number 65
_space_group_name_Hall '-C 2 2'
loop_
_atom_site_label
_atom_site_type_symbol
_atom_site_fract_x
_atom_site_fract_y
_atom_site_fract_z
_atom_site_occupancy
Er1 Er 0.0000 0.0000 0.0000 1
Er2 Er 0.0000 0.5000 0.2325 1
Er3 Er 0.2500 0.2500 0.2426 1
Cd1 Cd 0.1796 0.0000 0.5000 1
Co1 Co 0.0000 0.2920 0.0000 1
```

**Calculated volume**: 26.5 Å³ per atom
**Total magnetic moment**: 0.0 μB/f.u.
**Formation energy**: -0.13 eV per atom
**DOS(E_F)**: 10.53 states/eV/f.u.
**Electronic total energy**: -98.74 eV per cell

---

(8)
Here is a relaxed structure of CsBCl2 from the Alexandria database. Energies are from PBE.

Structure (CIF):
```
data_CsBCl2
_chemical_formula_sum 'Cs4 B4 Cl8'
_cell_length_a 7.7168
_cell_length_b 7.7168
_cell_length_c 7.7168
_cell_angle_alpha 90.00
_cell_angle_beta 90.00
_cell_angle_gamma 90.00
_space_group_name_H-M_alt 'F m -3 m'
_space_group_IT_number 225
_space_group_name_Hall '-F 4 2 3'
loop_
_atom_site_label
_atom_site_type_symbol
_atom_site_fract_x
_atom_site_fract_y
_atom_site_fract_z
_atom_site_occupancy
Cs1 Cs 0.0000 0.0000 0.0000 1
B1 B 0.0000 0.0000 0.5000 1
Cl1 Cl 0.2500 0.2500 0.2500 1
```

**E_form (uncorrected)**: 0.12 eV/atom
**Calculated volume**: 28.7 Å³ per atom
**Total magnetic moment**: 0.0 μB/f.u.
**DOS(E_F)**: 0.00 states/eV/f.u.
**Electronic total energy**: -42.92 eV per cell

---

(9)
Here is a relaxed structure of InSb2Au from the Alexandria database. Energies are from PBE.

Structure (CIF):
```
data_InSb2Au
_chemical_formula_sum 'In1 Sb2 Au1'
_cell_length_a 3.5876
_cell_length_b 3.5876
_cell_length_c 7.7292
_cell_angle_alpha 90.00
_cell_angle_beta 90.00
_cell_angle_gamma 90.00
_space_group_name_H-M_alt 'P 4 m m'
_space_group_IT_number 99
_space_group_name_Hall 'P 4 -2'
loop_
_atom_site_label
_atom_site_type_symbol
_atom_site_fract_x
_atom_site_fract_y
_atom_site_fract_z
_atom_site_occupancy
In1 In 0.0000 0.0000 0.0000 1
Sb1 Sb 0.0000 0.0000 0.5520 1
Sb2 Sb 0.5000 0.5000 0.3065 1
Au1 Au 0.5000 0.5000 0.7831 1
```

**E_form (uncorrected)**: 0.10 eV/atom
**Calculated volume**: 24.9 Å³ per atom
**Total magnetic moment**: 0.0 μB/f.u.
**DOS(E_F)**: 1.52 states/eV/f.u.
**Electronic total energy**: -13.88 eV per cell

---

(10)
Here is a relaxed structure of CsPH4N2O2 from the Alexandria database. Energies are from PBE.

Structure (CIF):
```
data_CsPH4N2O2
_chemical_formula_sum 'Cs4 P4 H16 N8 O8'
_cell_length_a 5.6761
_cell_length_b 5.6761
_cell_length_c 15.8634
_cell_angle_alpha 90.00
_cell_angle_beta 90.00
_cell_angle_gamma 90.00
_space_group_name_H-M_alt 'P 43 21 2'
_space_group_IT_number 96
_space_group_name_Hall 'P 4nw 2abw'
loop_
_atom_site_label
_atom_site_type_symbol
_atom_site_fract_x
_atom_site_fract_y
_atom_site_fract_z
_atom_site_occupancy
Cs1 Cs 0.1382 0.1382 0.0000 1
P1 P 0.0938 0.9062 0.2500 1
H1 H 0.0293 0.3785 0.4411 1
H2 H 0.2187 0.2285 0.6117 1
N1 N 0.1290 0.7023 0.1724 1
O1 O 0.1402 0.1431 0.2088 1
```

**Calculated volume**: 12.8 Å³ per atom
**Total magnetic moment**: 0.0 μB/f.u.
**DOS(E_F)**: 0.00 states/eV/f.u.
**Electronic total energy**: -228.09 eV per cell

---

(11)
Here is a relaxed structure of YCd from the Alexandria database. Energies are from PBE.

Structure (CIF):
```
data_YCd
_chemical_formula_sum 'Y4 Cd4'
_cell_length_a 6.0363
_cell_length_b 6.0363
_cell_length_c 6.0363
_cell_angle_alpha 90.00
_cell_angle_beta 90.00
_cell_angle_gamma 90.00
_space_group_name_H-M_alt 'P 21 3'
_space_group_IT_number 198
_space_group_name_Hall 'P 2ac 2ab 3'
loop_
_atom_site_label
_atom_site_type_symbol
_atom_site_fract_x
_atom_site_fract_y
_atom_site_fract_z
_atom_site_occupancy
Y1 Y 0.0806 0.0806 0.0806 1
Cd1 Cd 0.0884 0.5884 0.9116 1
```

**Calculated volume**: 27.5 Å³ per atom
**Total magnetic moment**: 0.0 μB/f.u.
**Formation energy**: -0.18 eV per atom
**DOS(E_F)**: 2.06 states/eV/f.u.
**Electronic total energy**: -30.94 eV per cell

---

(12)
Here is a relaxed structure of Li2YCo2 from the Alexandria database. Energies are from PBE.

Structure (CIF):
```
data_Li2YCo2
_chemical_formula_sum 'Li4 Y2 Co4'
_cell_length_a 3.8551
_cell_length_b 3.8551
_cell_length_c 11.5573
_cell_angle_alpha 90.00
_cell_angle_beta 90.00
_cell_angle_gamma 90.00
_space_group_name_H-M_alt 'I 4/m m m'
_space_group_IT_number 139
_space_group_name_Hall '-I 4 2'
loop_
_atom_site_label
_atom_site_type_symbol
_atom_site_fract_x
_atom_site_fract_y
_atom_site_fract_z
_atom_site_occupancy
Li1 Li 0.0000 0.5000 0.2500 1
Y1 Y 0.0000 0.0000 0.0000 1
Co1 Co 0.0000 0.0000 0.4074 1
```

**Calculated volume**: 17.2 Å³ per atom
**Total magnetic moment**: 2.4 μB/f.u.
**Formation energy**: 0.15 eV per atom
**DOS(E_F)**: 5.30 states/eV/f.u.
**Electronic total energy**: -47.52 eV per cell

---

What did the ninth record say?
Here is a relaxed structure of InSb2Au from the Alexandria database. Energies are from PBE.

Structure (CIF):
```
data_InSb2Au
_chemical_formula_sum 'In1 Sb2 Au1'
_cell_length_a 3.5876
_cell_length_b 3.5876
_cell_length_c 7.7292
_cell_angle_alpha 90.00
_cell_angle_beta 90.00
_cell_angle_gamma 90.00
_space_group_name_H-M_alt 'P 4 m m'
_space_group_IT_number 99
_space_group_name_Hall 'P 4 -2'
loop_
_atom_site_label
_atom_site_type_symbol
_atom_site_fract_x
_atom_site_fract_y
_atom_site_fract_z
_atom_site_occupancy
In1 In 0.0000 0.0000 0.0000 1
Sb1 Sb 0.0000 0.0000 0.5520 1
Sb2 Sb 0.5000 0.5000 0.3065 1
Au1 Au 0.5000 0.5000 0.7831 1
```

**E_form (uncorrected)**: 0.10 eV/atom
**Calculated volume**: 24.9 Å³ per atom
**Total magnetic moment**: 0.0 μB/f.u.
**DOS(E_F)**: 1.52 states/eV/f.u.
**Electronic total energy**: -13.88 eV per cell